This record from Alexandria via LeMat-Bulk describes a relaxed CsSmI3 crystal. The functional is PBE-GGA.

Results
Energy above the most stable polymorph in this dataset ... 0.00 eV per formula unit
Formation energy from raw total energies ... -1383.5 meV per atom

Unit cell a=6.995 b=15.274 c=15.274 alpha=120.00 beta=90.00 gamma=90.00
Last column: magnetic moment on the atom in μB.
Sites, in units of the cell vectors:
I (0.149, 0.840, 0.506)  0.00
Sm (0.436, 0.000, 0.000)  0.09
I (0.649, 0.333, 0.840)  0.00
Sm (0.899, 0.667, 0.333)  0.10
Cs (0.661, 0.335, 0.335)  0.00
Cs (0.161, 0.665, 0.665)  0.00
Sm (0.399, 0.333, 0.667)  0.10
I (0.686, 0.000, 0.173)  0.00
I (0.686, 0.173, 0.000)  0.00
I (0.649, 0.506, 0.667)  0.00
Cs (0.161, 0.335, 0.000)  0.00
I (0.649, 0.494, 0.160)  0.00
Sm (0.899, 0.333, 0.667)  0.10
I (0.149, 0.494, 0.333)  0.00
I (0.149, 0.667, 0.160)  0.00
Cs (0.661, 0.665, 0.000)  0.00
Cs (0.661, 0.000, 0.665)  0.00
I (0.186, 0.173, 0.173)  0.00
I (0.649, 0.840, 0.333)  0.00
Sm (0.936, 0.000, 0.000)  0.09
Cs (0.161, 0.000, 0.335)  0.00
I (0.186, 0.827, 0.000)  0.00
I (0.649, 0.160, 0.494)  0.00
I (0.649, 0.667, 0.506)  0.00
I (0.686, 0.827, 0.827)  0.00
I (0.149, 0.506, 0.840)  0.00
I (0.149, 0.160, 0.667)  0.00
I (0.186, 0.000, 0.827)  0.00
Sm (0.399, 0.667, 0.333)  0.10
I (0.149, 0.333, 0.494)  0.00